Density functional theory data (PBE) for an optimized crystal structure of MgSiAu2.

Cell: 4.606 4.606 5.039 Å, 80.24 80.24 42.28°
Positions (direct):
Au  0.000  0.000  0.005
Si  0.250  0.250  0.250
Mg  0.750  0.750  0.750
Au  0.500  0.500  0.495

Results
The space group is No. 12. Its energy relative to the elements, uncorrected is -150.4 meV per atom. The uncorrected energy comes out at -0.1302 Ha/atom. As for the calculated volume: 71 Å³/cell.


Density functional theory data (PBE) for an optimized crystal structure of TiAl2Zn.

Cell: 3.976 3.976 3.880 Å, 90.00 90.00 90.00°
Positions (direct):
Ti  0.000  0.000  0.000
Al  0.500  0.000  0.500
Al  0.000  0.500  0.500
Zn  0.500  0.500  0.000

Results
The space group is No. 123. Its formation enthalpy at 0 K is -149 kJ/mol of formula units. The uncorrected energy comes out at -0.1672 Ha/atom. As for the calculated volume: 61 Å³/cell.


Density functional theory data (PBE) for an optimized crystal structure of Dy2Tm2Ni15.

Cell: 6.454 6.454 6.454 Å, 82.26 82.26 82.26°
Each line ends with the local moment (μB).
Positions (direct):
Ni  0.309  0.691  0.000  0.19
Ni  0.166  0.651  0.651  0.18
Tm  0.889  0.889  0.889  -0.05
Ni  0.651  0.166  0.651  0.18
Ni  0.000  0.000  0.500  0.14
Tm  0.111  0.111  0.111  -0.05
Ni  0.309  0.000  0.691  0.19
Dy  0.360  0.360  0.360  -0.04
Ni  0.651  0.651  0.166  0.18
Ni  0.349  0.349  0.834  0.18
Ni  0.691  0.000  0.309  0.19
Dy  0.640  0.640  0.640  -0.04
Ni  0.834  0.349  0.349  0.18
Ni  0.000  0.500  0.000  0.14
Ni  0.500  0.000  0.000  0.14
Ni  0.000  0.309  0.691  0.19
Ni  0.000  0.691  0.309  0.19
Ni  0.349  0.834  0.349  0.18
Ni  0.691  0.309  0.000  0.19

Results
The space group is No. 166. Its formation enthalpy at 0 K is -483 kJ/mol of formula units. The uncorrected energy comes out at -0.2125 Ha/atom. As for the calculated volume: 262 Å³/cell.


Density functional theory data (PBE) for an optimized crystal structure of Ba2TlPd9.

Cell: 5.548 5.548 9.730 Å, 73.44 73.44 60.00°
Positions (direct):
Ba  0.863  0.863  0.411
Pd  0.667  0.667  0.998
Pd  0.581  0.581  0.757
Pd  0.500  0.500  0.500
Pd  0.419  0.419  0.243
Pd  0.581  0.081  0.757
Pd  0.081  0.581  0.757
Pd  0.919  0.419  0.243
Tl  0.000  0.000  0.000
Pd  0.419  0.919  0.243
Pd  0.333  0.333  0.002
Ba  0.137  0.137  0.589

Results
The space group is No. 166. Its formation enthalpy at 0 K is -295 kJ/mol of formula units. The uncorrected energy comes out at -0.1715 Ha/atom. As for the calculated volume: 245 Å³/cell.


Density functional theory data (PBE) for an optimized crystal structure of BaCaMo2S.

Cell: 5.028 6.303 5.028 Å, 90.00 90.00 90.00°
Each line ends with the local moment (μB).
Positions (direct):
Ba  0.000  0.000  0.000  -0.09
Mo  0.000  0.000  0.500  1.38
S  0.500  0.500  0.500  -0.01
Mo  0.500  0.000  0.000  2.03
Ca  0.000  0.500  0.000  -0.04

Results
The space group is No. 123. Its energy relative to the elements, uncorrected is 2307.1 meV per atom. The uncorrected energy comes out at -0.1336 Ha/atom. As for the calculated volume: 159 Å³/cell.


Density functional theory data (PBE) for an optimized crystal structure of Na2TcO.

Cell: 9.720 9.720 7.130 Å, 47.03 47.03 90.00°
Each line ends with the local moment (μB).
Positions (direct):
O  0.500  0.500  0.000  -0.01
O  0.250  0.750  0.500  -0.01
Na  0.375  0.535  0.750  -0.01
Tc  0.750  0.250  0.500  0.60
Na  0.875  0.715  0.750  -0.01
Tc  0.000  0.000  0.000  0.61
Na  0.285  0.625  0.250  -0.01
Na  0.465  0.125  0.250  -0.01

Results
The space group is No. 122. Its energy relative to the elements, uncorrected is -138.6 meV per atom. The uncorrected energy comes out at -0.1701 Ha/atom. As for the calculated volume: 179 Å³/cell.


Density functional theory data (PBE) for an optimized crystal structure of RbReB3.

Cell: 4.309 4.309 4.309 Å, 90.00 90.00 90.00°
Positions (direct):
B  0.000  0.500  0.000
B  0.500  0.000  0.000
B  0.000  0.000  0.500
Rb  0.500  0.500  0.500
Re  0.000  0.000  0.000

Results
The space group is No. 221. Its formation enthalpy at 0 K is 379 kJ/mol of formula units. The uncorrected energy comes out at -0.2170 Ha/atom. As for the calculated volume: 80 Å³/cell.


Density functional theory data (PBE) for an optimized crystal structure of BaNi3Mo.

Cell: 4.723 4.723 4.723 Å, 90.00 90.00 90.00°
Positions (direct):
Ni  0.000  0.500  0.000
Mo  0.500  0.500  0.500
Ni  0.000  0.000  0.500
Ba  0.000  0.000  0.000
Ni  0.500  0.000  0.000

Results
The space group is No. 221. Its formation enthalpy at 0 K is 1156 kJ/mol of formula units. The uncorrected energy comes out at -0.1331 Ha/atom. As for the calculated volume: 105 Å³/cell.